[1]
An optimized crystal structure of Zn2InSn2Pd5, computed with GGA-PBE.

Cell and atoms, written as POSCAR:
```
Zn2InSn2Pd5
1.0
10.010 0.000 0.000
0.000 10.010 0.000
0.000 0.000 3.547
Zn In Sn Pd
4 2 4 10
Cartesian
1.353 3.652 0.000
3.652 8.656 0.000
6.358 1.353 0.000
8.656 6.358 0.000
0.000 0.000 0.000
5.005 5.005 0.000
1.586 6.591 0.000
3.419 1.586 0.000
6.591 8.424 0.000
8.424 3.419 0.000
0.000 5.005 1.774
1.244 1.713 1.774
1.713 8.766 1.774
3.292 3.761 1.774
3.761 6.718 1.774
5.005 0.000 1.774
6.249 3.292 1.774
6.718 6.249 1.774
8.297 1.244 1.774
8.766 8.297 1.774
```

Computed properties:
As for the space group: P4/mbm (127). As for the electronic total energy: -4.302 eV/atom. Its formation energy from the elements is -0.376 eV per atom. The value obtained for the magnetization is 0.00 μB/cell.

=====

[2]
An optimized crystal structure of SrIn8Pd4, computed with GGA-PBE.

Cell and atoms, written as POSCAR:
```
SrIn8Pd4
1.0
-4.880 4.880 2.921
4.880 -4.880 2.921
4.880 4.880 -2.921
Sr In Pd
1 8 4
Cartesian
0.000 0.000 0.000
3.336 0.000 0.000
6.424 0.000 0.000
4.880 2.719 0.000
0.000 3.336 0.000
2.719 4.880 0.000
2.160 0.000 2.921
0.000 6.424 0.000
0.000 2.160 2.921
2.440 2.440 -1.461
2.440 -2.440 1.461
-2.440 2.440 1.461
2.440 2.440 1.461
```

Computed properties:
As for the space group: I4/mmm (139). As for the electronic total energy: -3.836 eV/atom. Its formation energy from the elements is -0.424 eV per atom. The value obtained for the magnetization is 0.00 μB/cell.

=====

[3]
An optimized crystal structure of Sr3In8Pd3, computed with GGA-PBE.

Cell and atoms, written as POSCAR:
```
Sr3In8Pd3
1.0
-2.366 5.556 6.863
2.366 -5.556 6.863
2.366 5.556 -6.863
Sr In Pd
3 8 3
Cartesian
0.000 0.000 0.000
0.000 0.000 4.622
0.000 0.000 9.105
2.366 -1.517 2.423
2.366 -2.367 5.313
2.366 1.517 2.423
0.000 3.189 1.550
2.366 2.367 5.313
0.000 4.039 4.440
0.000 7.923 1.550
0.000 7.073 4.440
2.366 2.849 0.000
0.000 5.556 0.000
0.000 2.707 6.863
```

Computed properties:
As for the space group: Immm (71). As for the electronic total energy: -3.529 eV/atom. Its formation energy from the elements is -0.491 eV per atom. The value obtained for the magnetization is 0.00 μB/cell.

=====

[4]
An optimized crystal structure of Sr3InPd3, computed with GGA-PBE.

Cell and atoms, written as POSCAR:
```
Sr3InPd3
1.0
2.235 -5.737 0.000
2.235 5.737 0.000
0.000 0.000 14.749
Sr In Pd
6 2 6
Cartesian
2.235 5.588 11.062
2.235 2.401 8.939
2.235 2.401 13.184
2.235 -2.401 1.565
2.235 -2.401 5.810
2.235 -5.588 3.687
0.000 0.000 0.000
0.000 0.000 7.375
2.235 2.452 3.687
2.235 0.907 1.328
2.235 0.907 6.047
2.235 -0.907 8.702
2.235 -0.907 13.421
2.235 -2.452 11.062
```

Computed properties:
As for the space group: Cmcm (63). As for the electronic total energy: -3.968 eV/atom. Its formation energy from the elements is -0.631 eV per atom. The value obtained for the magnetization is 0.00 μB/cell.

=====

[5]
An optimized crystal structure of SrInPd3, computed with GGA-PBE.

Cell and atoms, written as POSCAR:
```
SrInPd3
1.0
-2.836 4.442 4.549
2.836 -4.442 4.549
2.836 4.442 -4.549
Sr In Pd
2 2 6
Cartesian
0.000 2.221 0.283
2.836 2.221 4.266
2.836 0.000 0.000
0.000 0.000 4.549
2.836 2.221 -1.578
1.418 4.477 -2.275
1.418 0.035 2.275
-1.418 4.406 2.275
1.418 4.406 2.275
0.000 2.221 6.127
```

Computed properties:
As for the space group: Imma (74). As for the electronic total energy: -4.513 eV/atom. Its formation energy from the elements is -0.513 eV per atom. The value obtained for the magnetization is 0.00 μB/cell.

=====

[6]
An optimized crystal structure of SrInPd, computed with GGA-PBE.

Cell and atoms, written as POSCAR:
```
SrInPd
1.0
0.000 3.497 3.497
3.497 0.000 3.497
3.497 3.497 0.000
Sr In Pd
1 1 1
Cartesian
0.000 0.000 0.000
3.497 3.497 3.497
5.246 5.246 5.246
```

Computed properties:
As for the space group: F-43m (216). As for the electronic total energy: -3.676 eV/atom. Its formation energy from the elements is -0.472 eV per atom. The value obtained for the magnetization is 0.00 μB/cell.